Material: Nd2Mo2O7
Method: DFT, PBE+U
State: relaxed

abc: 6.925 6.925 3.806
angles: 103.49 103.49 59.30
Positions (direct):
Nd1 0.223 0.223 0.237
Nd2 0.777 0.777 0.763
Mo1 0.268 0.732 0.500
Mo2 0.732 0.268 0.500
O1 0.000 0.000 0.000
O2 0.032 0.639 0.304
O3 0.361 0.968 0.696
O4 0.429 0.429 0.688
O5 0.571 0.571 0.312
O6 0.639 0.032 0.304
O7 0.968 0.361 0.696

Computed properties:
total moment: 4.000 μB/f.u.
uncorrected energy: -83.5 eV per cell
excess energy over the best structure of this formula in the dataset: 276 meV/atom
theoretical density: 6.51 g cm⁻³
symmetry: C2/m (12)